PrSmHf, optimized geometry, DFT GGA-PBE; energy of formation = 0.259 eV/atom
1.0
4.735 0.000 0.000
0.000 4.735 0.000
0.000 0.000 8.444
Hf Pr Sm
2 2 2
direct
0.000 0.000 0.000 Hf
0.500 0.500 0.000 Hf
0.000 0.500 0.711 Pr
0.500 0.000 0.289 Pr
0.000 0.500 0.279 Sm
0.500 0.000 0.721 Sm

***

PrSm2Hf, optimized geometry, DFT GGA-PBE; energy of formation = 0.233 eV/atom
1.0
-2.542 1.551 2.735
-2.078 -3.468 0.035
4.399 -2.580 5.551
Hf Sm Pr
1 2 1
direct
0.500 0.500 0.000 Hf
0.000 0.000 0.785 Sm
0.000 0.000 0.215 Sm
0.500 0.500 0.500 Pr

***

Pr2SmHf, optimized geometry, DFT GGA-PBE; energy of formation = 0.229 eV/atom
1.0
4.084 0.000 0.000
0.000 4.084 0.000
0.000 0.000 7.492
Sm Hf Pr
1 1 2
direct
0.500 0.500 0.500 Sm
0.500 0.500 0.000 Hf
0.000 0.000 0.221 Pr
0.000 0.000 0.779 Pr

***

So what do the calculations give for uncorrected energy? Going down the list: -37.35, -23.24, -23.31 eV/cell.
So what do the calculations give for relative energy among the computed polymorphs? Going down the list: 90.4, 48.9, 46.8 meV per atom.